(1)
Compound: Hg2B2Pt5
Source: Alexandria via LeMat-Bulk
Functional: PBE
Structure: optimized geometry

It has space group P-1 (No. 2), with a = 2.942 Å, b = 6.368 Å, c = 8.256 Å, α = 102.72°, β = 90.15° and γ = 103.34°. The inequivalent atoms are Hg at (0.113, 0.226, 0.343), B at (0.358, 0.716, 0.111), Pt at (0.268, 0.538, 0.858), Pt at (0.409, 0.821, 0.362) and Pt at (0.500, 0.000, 0.000).

The calculation puts the formation energy at -31 meV/atom. As for the total energy: -4.938 eV per atom. The density of states at the Fermi level comes out at 3.21 states/eV per cell.


(2)
Compound: InFeAgIr2
Source: Alexandria via LeMat-Bulk
Functional: PBE
Structure: optimized geometry

It has space group P4/mmm (No. 123), with a = 4.897 Å, b = 4.897 Å, c = 4.882 Å, α = 90.00°, β = 90.00° and γ = 90.00°. The inequivalent atoms are In at (0.000, 0.000, 0.000), Fe at (0.500, 0.500, 0.500), Ag at (0.000, 0.000, 0.500) and Ir at (0.000, 0.500, 0.000).

The calculation puts the formation energy at 1843 meV/atom. As for the total energy: -4.512 eV per atom. The density of states at the Fermi level comes out at 8.12 states/eV per cell.


(3)
Compound: SmYCuRu
Source: Alexandria via LeMat-Bulk
Functional: PBE
Structure: optimized geometry

It has space group F-43m (No. 216), with a = 6.952 Å, b = 6.952 Å, c = 6.952 Å, α = 90.00°, β = 90.00° and γ = 90.00°. The inequivalent atoms are Sm at (0.000, 0.000, 0.000), Y at (0.000, 0.000, 0.500), Cu at (0.250, 0.250, 0.750) and Ru at (0.250, 0.250, 0.250).

The calculation puts the formation energy at -263 meV/atom. As for the total energy: -6.402 eV per atom. The density of states at the Fermi level comes out at 13.12 states/eV per cell.


(4)
Compound: B2IO2
Source: Alexandria via LeMat-Bulk
Functional: PBE
Structure: optimized geometry

It has space group P4/mbm (No. 127), with a = 7.766 Å, b = 7.766 Å, c = 2.526 Å, α = 90.00°, β = 90.00° and γ = 90.00°. The inequivalent atoms are B at (0.078, 0.422, 0.000), I at (0.000, 0.000, 0.000) and O at (0.097, 0.597, 0.500).

As for the total energy: -4.002 eV per atom. Its uncorrected formation energy is 0.96 eV/atom. The density of states at the Fermi level comes out at 2.29 states/eV per cell.


(5)
Compound: Ga2HgAu
Source: Alexandria via LeMat-Bulk
Functional: PBE
Structure: optimized geometry

It has space group R-3m (No. 166, hexagonal axes), with a = 3.3909 Å, b = 3.3909 Å, c = 26.8194 Å, α = 90.00°, β = 90.00° and γ = 120.00°. The inequivalent atoms are Ga at (0.0000, 0.0000, 0.0988), Hg at (0.0000, 0.0000, 0.0000) and Au at (0.0000, 0.0000, 0.5000).

The calculation puts the formation energy at -62 meV/atom. As for the total energy: -2.470 eV per atom. The density of states at the Fermi level comes out at 3.08 states/eV per cell.


(6)
Compound: LiCrH3
Source: Alexandria via LeMat-Bulk
Functional: PBE
Structure: optimized geometry

It has space group R-3 (No. 148, hexagonal axes), with a = 4.2947 Å, b = 4.2947 Å, c = 13.3937 Å, α = 90.00°, β = 90.00° and γ = 120.00°. The inequivalent atoms are Li at (0.0000, 0.0000, 0.1109), Cr at (0.0000, 0.0000, 0.3300) and H at (0.9997, 0.4457, 0.0884).

As for the total energy: -4.442 eV per atom. The density of states at the Fermi level comes out at 13.33 states/eV per cell.


(7)
Compound: ScBi
Source: Alexandria via LeMat-Bulk
Functional: PBE
Structure: optimized geometry

It has space group Fm-3m (No. 225), with a = 6.033 Å, b = 6.033 Å, c = 6.033 Å, α = 90.00°, β = 90.00° and γ = 90.00°. The inequivalent atoms are Sc at (0.000, 0.000, 0.000) and Bi at (0.000, 0.000, 0.500).

The calculation puts the formation energy at -663 meV/atom. As for the total energy: -5.769 eV per atom. The density of states at the Fermi level comes out at 2.20 states/eV per cell.


(8)
Compound: Nd4Se2SN
Source: Alexandria via LeMat-Bulk
Functional: PBE
Structure: optimized geometry

It has space group P2/m (No. 10), with a = 6.974 Å, b = 3.974 Å, c = 7.183 Å, α = 90.00°, β = 108.43° and γ = 90.00°. The inequivalent atoms are Nd at (0.216, 0.000, 0.208), Nd at (0.237, 0.500, 0.785), Se at (0.000, 0.000, 0.500), Se at (0.500, 0.500, 0.500), S at (0.500, 0.000, 0.000) and N at (0.000, 0.500, 0.000).

As for the total energy: -6.565 eV per atom. Its uncorrected formation energy is -1.75 eV/atom. The density of states at the Fermi level comes out at 2.58 states/eV per cell.